Record 1
An optimized crystal structure of CoSnAs3. Source: the Alexandria database, functional PBE.

Calculated values
Energy above the most stable polymorph in this dataset: 0 meV/atom
Formation energy from the elements: 7.892 kcal/mol of atoms
Mass density: 6.576 g/cm³
SG: Pm-3m (221)

```
CoSnAs3
1.0
-3.587 -0.637 2.916
2.978 -1.070 3.429
0.200 4.497 1.229
As Co Sn
3 1 1
Cartesian
1.489 -0.535 1.715
0.100 2.249 0.615
-1.793 -0.319 1.458
0.000 0.000 0.000
-0.204 1.395 3.787
```

=====

Record 2
An optimized crystal structure of CePrY. Source: the Alexandria database, functional PBE.

Calculated values
Energy above the most stable polymorph in this dataset: 217 meV/atom
Formation energy from the elements: 6.802 kcal/mol of atoms
Mass density: 6.121 g/cm³
SG: P4/nmm (129)

```
CePrY
1.0
4.822 0.000 0.000
0.000 4.822 0.000
0.000 0.000 8.632
Ce Y Pr
2 2 2
Cartesian
0.000 2.411 5.848
2.411 0.000 2.784
2.411 2.411 0.000
0.000 0.000 0.000
2.411 0.000 5.902
0.000 2.411 2.730
```